This record from Alexandria via LeMat-Bulk describes a relaxed LaVAs2O8 crystal. The functional is GGA+U.

Values from the calculation:
Spin magnetization = 2.0 μB/cell
SG = No. 119
Electronic total energy = -6.922 eV per atom
DOS at the Fermi energy = 0.0 states/eV/f.u.

Unit cell a=6.0032 b=6.0032 c=6.0032 alpha=105.79 beta=105.79 gamma=117.11
Last column: nearest neighbours and their distance in Å.
Atoms (fractional coordinates):
La 0.0000 0.0000 0.0000  8 O 2.41-2.49
V 0.7500 0.2500 0.5000  8 O 2.30-2.31
As 0.2500 0.7500 0.5000  4 O 1.72
As 0.5000 0.5000 0.0000  4 O 1.73
O 0.0587 0.3877 0.3290  1 As 1.72
O 0.0587 0.7297 0.6710  1 As 1.72
O 0.1423 0.3312 0.8111  1 As 1.73
O 0.2703 0.9413 0.3290  1 As 1.72
O 0.5201 0.3312 0.1889  1 As 1.73
O 0.6123 0.9413 0.6710  1 As 1.72
O 0.6688 0.4799 0.8111  1 As 1.73
O 0.6688 0.8577 0.1889  1 As 1.73


This record from Alexandria via LeMat-Bulk describes a relaxed LaAsW2O crystal. The functional is GGA+U.

Values from the calculation:
Spin magnetization = 3.9 μB/cell
SG = No. 123
Electronic total energy = -4.601 eV per atom
DOS at the Fermi energy = 2.7 states/eV/f.u.

Unit cell a=4.6688 b=4.6688 c=5.9835 alpha=90.00 beta=90.00 gamma=90.00
Last column: nearest neighbours and their distance in Å.
Atoms (fractional coordinates):
La 0.0000 0.0000 0.0000  2 As 2.99, 4 O 3.30
As 0.0000 0.0000 0.5000  4 W 2.33
W 0.0000 0.5000 0.5000  2 As 2.33
W 0.5000 0.0000 0.5000  2 As 2.33
O 0.5000 0.5000 0.0000  4 La 3.30


- The lowest electronic total energy belongs to which entry?
  LaVAs2O8


- Which value of spin magnetization does entry 2 give?
  3.9 μB/cell